No. 1
A plane-wave DFT calculation with PBE was carried out for a relaxed ErMgCdSn crystal.

DOS(E_F) = 10.97 states/eV per cell
M_tot = 0.0 Bohr magnetons per cell
formation energy from the elements = -0.279 eV per atom
excess energy over the best structure of this formula in the dataset = 140 meV/atom

```
data_ErMgCdSn
_space_group_name_H-M_alt 'F -4 3 m'
_space_group_IT_number 216
_space_group_name_Hall 'F -4 2 3'
_cell_length_a 7.2834
_cell_length_b 7.2834
_cell_length_c 7.2834
_cell_angle_alpha 90.00
_cell_angle_beta 90.00
_cell_angle_gamma 90.00
loop_
_atom_site_label
_atom_site_fract_x
_atom_site_fract_y
_atom_site_fract_z
Er1 0.0000 0.0000 0.0000
Mg1 0.0000 0.0000 0.5000
Cd1 0.2500 0.2500 0.7500
Sn1 0.2500 0.2500 0.2500
```

No. 2
A plane-wave DFT calculation with PBE was carried out for a relaxed ErMgCdSn crystal.

DOS(E_F) = 1.36 states/eV per cell
M_tot = 0.0 Bohr magnetons per cell
formation energy from the elements = -0.419 eV per atom
excess energy over the best structure of this formula in the dataset = 0 meV/atom

```
data_ErMgCdSn
_space_group_name_H-M_alt 'P m m m'
_space_group_IT_number 47
_space_group_name_Hall '-P 2 2'
_cell_length_a 4.3536
_cell_length_b 4.5358
_cell_length_c 4.7838
_cell_angle_alpha 90.00
_cell_angle_beta 90.00
_cell_angle_gamma 90.00
loop_
_atom_site_label
_atom_site_fract_x
_atom_site_fract_y
_atom_site_fract_z
Er1 0.0000 0.0000 0.0000
Mg1 0.0000 0.5000 0.5000
Cd1 0.5000 0.0000 0.5000
Sn1 0.5000 0.5000 0.0000
```

No. 3
A plane-wave DFT calculation with PBE was carried out for a relaxed Sr2ErMg2Cd5 crystal.

DOS(E_F) = 8.46 states/eV per cell
M_tot = 0.0 Bohr magnetons per cell
formation energy from the elements = -0.232 eV per atom

```
data_Sr2ErMg2Cd5
_space_group_name_H-M_alt 'P 4/m b m'
_space_group_IT_number 127
_space_group_name_Hall '-P 4 2ab'
_cell_length_a 11.1868
_cell_length_b 11.1868
_cell_length_c 4.3259
_cell_angle_alpha 90.00
_cell_angle_beta 90.00
_cell_angle_gamma 90.00
loop_
_atom_site_label
_atom_site_fract_x
_atom_site_fract_y
_atom_site_fract_z
Sr1 0.1799 0.3201 0.0000
Er1 0.0000 0.0000 0.0000
Mg1 0.1163 0.6163 0.0000
Cd1 0.0000 0.5000 0.5000
Cd2 0.0538 0.7965 0.5000
```

No. 4
A plane-wave DFT calculation with PBE was carried out for a relaxed SrErMg2Cd4 crystal.

DOS(E_F) = 11.09 states/eV per cell
M_tot = 0.0 Bohr magnetons per cell
formation energy from the elements = -0.258 eV per atom

```
data_SrErMg2Cd4
_space_group_name_H-M_alt 'R -3 m'
_space_group_IT_number 166
_space_group_name_Hall '-R 3 2"'
_cell_length_a 5.1575
_cell_length_b 5.1575
_cell_length_c 25.8584
_cell_angle_alpha 90.00
_cell_angle_beta 90.00
_cell_angle_gamma 120.00
loop_
_atom_site_label
_atom_site_fract_x
_atom_site_fract_y
_atom_site_fract_z
Sr1 0.0000 0.0000 0.0000
Er1 0.0000 0.0000 0.5000
Mg1 0.0000 0.0000 0.2470
Cd1 0.0000 0.0000 0.1277
Cd2 0.0000 0.0000 0.3811
```

Number 1: mass density 7.27 g/cm³. Number 2: mass density 7.43 g/cm³. Number 3: mass density 5.85 g/cm³. Number 4: mass density 6.30 g/cm³.